1.
Entry from Alexandria: an optimized crystal structure of Sm2TmCu6 (PBE-GGA).

Values from the calculation:
calculated formation energy	-240	meV per atom
D(E_F)	4.4	states/eV/f.u.

Lattice parameters (Å, degrees): 7.3523 7.3523 3.6177 90.00 90.00 120.00
Space group P6/mmm (No. 191)
Symmetry-distinct sites (fractional):
Sm1 0.3333 0.6667 0.0000 x2
Tm1 0.0000 0.0000 0.0000 x1
Cu1 0.0000 0.3309 0.5000 x6

2.
Entry from Alexandria: an optimized crystal structure of TcPRhCl2 (PBE-GGA).

Values from the calculation:
energy relative to the elements, uncorrected	0.76	eV per atom
polymorph energy (0 for the lowest one)	12.7	meV/atom
D(E_F)	10.5	states/eV/f.u.

Lattice parameters (Å, degrees): 4.832 4.832 4.558 90.00 90.00 90.00
Space group P4/mmm (No. 123)
Symmetry-distinct sites (fractional):
Tc1 0.000 0.000 0.000 x1
P1 0.000 0.000 0.500 x1
Rh1 0.500 0.500 0.500 x1
Cl1 0.000 0.500 0.000 x2

3.
Entry from Alexandria: an optimized crystal structure of SrZr2Tl (PBE-GGA).

Values from the calculation:
calculated formation energy	51	meV per atom
polymorph energy (0 for the lowest one)	0.0	meV/atom
D(E_F)	3.4	states/eV/f.u.

Lattice parameters (Å, degrees): 3.351 3.351 9.899 90.00 90.00 90.00
Space group P4mm (No. 99)
Symmetry-distinct sites (fractional):
Sr1 0.000 0.000 0.000 x1
Zr1 0.000 0.000 0.485 x1
Zr2 0.500 0.500 0.693 x1
Tl1 0.500 0.500 0.257 x1

4.
Entry from Alexandria: an optimized crystal structure of Rb4BiH2 (PBE-GGA).

Values from the calculation:
D(E_F)	4.3	states/eV/f.u.
electronic total energy	-1.9440	eV/atom

Lattice parameters (Å, degrees): 6.994 6.994 16.945 90.00 90.00 90.00
Space group I4/mmm (No. 139)
Symmetry-distinct sites (fractional):
Rb1 0.000 0.000 0.215 x4
Rb2 0.000 0.500 0.000 x4
Bi1 0.000 0.000 0.000 x2
H1 0.000 0.000 0.370 x4

5.
Entry from Alexandria: an optimized crystal structure of Ac2MgO4 (PBE-GGA).

Values from the calculation:
energy relative to the elements, uncorrected	-3.12	eV per atom
D(E_F)	0.0	states/eV/f.u.

Lattice parameters (Å, degrees): 3.986 3.986 13.160 90.00 90.00 90.00
Space group I4/mmm (No. 139)
Symmetry-distinct sites (fractional):
Ac1 0.000 0.000 0.136 x4
Mg1 0.000 0.000 0.500 x2
O1 0.000 0.000 0.325 x4
O2 0.000 0.500 0.000 x4

6.
Entry from Alexandria: an optimized crystal structure of Tb4InNi2 (PBE-GGA).

Values from the calculation:
calculated formation energy	-220	meV per atom
D(E_F)	5.2	states/eV/f.u.

Lattice parameters (Å, degrees): 4.7964 4.7964 26.7735 90.00 90.00 120.00
Space group R-3m (No. 166, hexagonal axes)
Symmetry-distinct sites (fractional):
Tb1 0.0000 0.0000 0.1119 x6
Tb2 0.0000 0.0000 0.2966 x6
In1 0.0000 0.0000 0.5000 x3
Ni1 0.0000 0.0000 0.4012 x6

7.
Entry from Alexandria: an optimized crystal structure of PmYGaTc (PBE-GGA).

Values from the calculation:
calculated formation energy	-169	meV per atom
D(E_F)	3.8	states/eV/f.u.

Lattice parameters (Å, degrees): 7.105 7.105 7.105 90.00 90.00 90.00
Space group F-43m (No. 216)
Symmetry-distinct sites (fractional):
Pm1 0.000 0.000 0.000 x4
Y1 0.000 0.000 0.500 x4
Ga1 0.250 0.250 0.250 x4
Tc1 0.250 0.250 0.750 x4

8.
Entry from Alexandria: an optimized crystal structure of Y2BiS2 (PBE-GGA).

Values from the calculation:
energy relative to the elements, uncorrected	-1.29	eV per atom
D(E_F)	2.7	states/eV/f.u.

Lattice parameters (Å, degrees): 4.503 4.503 13.918 90.00 90.00 90.00
Space group I4/mmm (No. 139)
Symmetry-distinct sites (fractional):
Y1 0.000 0.000 0.147 x4
Bi1 0.000 0.000 0.500 x2
S1 0.000 0.500 0.250 x4

9.
Entry from Alexandria: an optimized crystal structure of YSc2PPb (PBE-GGA).

Values from the calculation:
calculated formation energy	-748	meV per atom
D(E_F)	3.7	states/eV/f.u.

Lattice parameters (Å, degrees): 4.925 4.925 5.239 90.00 90.00 90.00
Space group P4/mmm (No. 123)
Symmetry-distinct sites (fractional):
Y1 0.000 0.000 0.000 x1
Sc1 0.000 0.500 0.500 x2
P1 0.000 0.000 0.500 x1
Pb1 0.500 0.500 0.000 x1

10.
Entry from Alexandria: an optimized crystal structure of Sm3Si2Sn2 (PBE-GGA).

Values from the calculation:
energy relative to the elements, uncorrected	-0.68	eV per atom
D(E_F)	3.9	states/eV/f.u.

Lattice parameters (Å, degrees): 11.330 4.329 7.963 90.00 115.33 90.00
Space group C2/m (No. 12)
Symmetry-distinct sites (fractional):
Sm1 0.000 0.000 0.000 x2
Sm2 0.183 0.000 0.654 x4
Si1 0.205 0.500 0.932 x4
Sn1 0.039 0.500 0.333 x4

11.
Entry from Alexandria: an optimized crystal structure of Nd2SmDy2 (PBE-GGA).

Values from the calculation:
calculated formation energy	4	meV per atom
polymorph energy (0 for the lowest one)	0.0	meV/atom
D(E_F)	6.2	states/eV/f.u.

Lattice parameters (Å, degrees): 6.283 3.633 14.788 90.00 98.25 90.00
Space group C2/m (No. 12)
Symmetry-distinct sites (fractional):
Nd1 0.132 0.000 0.395 x4
Sm1 0.000 0.000 0.000 x2
Dy1 0.100 0.500 0.803 x4

12.
Entry from Alexandria: an optimized crystal structure of LuHg2Rh (PBE-GGA).

Values from the calculation:
calculated formation energy	-298	meV per atom
D(E_F)	2.7	states/eV/f.u.

Lattice parameters (Å, degrees): 4.136 4.136 4.754 90.00 90.00 90.00
Space group P4/mmm (No. 123)
Symmetry-distinct sites (fractional):
Lu1 0.000 0.000 0.000 x1
Hg1 0.000 0.500 0.500 x2
Rh1 0.500 0.500 0.000 x1

13.
Entry from Alexandria: an optimized crystal structure of K2CaGaCu (PBE-GGA).

Values from the calculation:
calculated formation energy	322	meV per atom
D(E_F)	3.8	states/eV/f.u.

Lattice parameters (Å, degrees): 6.638 6.638 4.637 90.00 90.00 90.00
Space group P4/mmm (No. 123)
Symmetry-distinct sites (fractional):
K1 0.000 0.500 0.000 x2
Ca1 0.000 0.000 0.500 x1
Ga1 0.500 0.500 0.000 x1
Cu1 0.500 0.500 0.500 x1

14.
Entry from Alexandria: an optimized crystal structure of Ca3ErSc3Se8 (PBE-GGA).

Values from the calculation:
energy relative to the elements, uncorrected	-1.83	eV per atom
D(E_F)	5.3	states/eV/f.u.

Lattice parameters (Å, degrees): 7.9420 7.9420 20.2297 90.00 90.00 120.00
Space group R-3m (No. 166, hexagonal axes)
Symmetry-distinct sites (fractional):
Ca1 0.0000 0.5000 0.0000 x9
Er1 0.0000 0.0000 0.5000 x3
Sc1 0.0000 0.5000 0.5000 x9
Se1 0.0000 0.0000 0.2438 x6
Se2 0.0104 0.5052 0.7549 x18

15.
Entry from Alexandria: an optimized crystal structure of Gd3InS6 (PBE-GGA).

Values from the calculation:
energy relative to the elements, uncorrected	-1.70	eV per atom

Lattice parameters (Å, degrees): 13.627 16.606 3.897 90.00 90.00 90.00
Space group P2_12_12 (No. 18)
Symmetry-distinct sites (fractional):
Gd1 0.039 0.224 0.250 x4
Gd2 0.189 0.645 0.250 x4
Gd3 0.248 0.892 0.749 x4
In1 0.000 0.000 0.746 x2
In2 0.000 0.500 0.750 x2
S1 0.021 0.395 0.250 x4
S2 0.096 0.913 0.249 x4
S3 0.111 0.118 0.750 x4
S4 0.112 0.746 0.750 x4
S5 0.182 0.286 0.750 x4
S6 0.192 0.520 0.750 x4

16.
Entry from Alexandria: an optimized crystal structure of Ac2Sm3Dy2 (PBE-GGA).

Values from the calculation:
calculated formation energy	291	meV per atom
D(E_F)	12.5	states/eV/f.u.

Lattice parameters (Å, degrees): 17.785 5.467 5.876 90.00 109.18 90.00
Space group C2/m (No. 12)
Symmetry-distinct sites (fractional):
Ac1 0.111 0.000 0.110 x4
Sm1 0.000 0.000 0.500 x2
Sm2 0.238 0.000 0.737 x4
Dy1 0.110 0.500 0.611 x4

17.
Entry from Alexandria: an optimized crystal structure of PuVP (PBE-GGA).

Values from the calculation:
calculated formation energy	-498	meV per atom
D(E_F)	6.1	states/eV/f.u.

Lattice parameters (Å, degrees): 4.1142 4.1142 3.6747 90.00 90.00 120.00
Space group P-6m2 (No. 187)
Symmetry-distinct sites (fractional):
Pu1 0.0000 0.0000 0.0000 x1
V1 0.6667 0.3333 0.5000 x1
P1 0.3333 0.6667 0.5000 x1

18.
Entry from Alexandria: an optimized crystal structure of MgCd2Tc (PBE-GGA).

Values from the calculation:
calculated formation energy	257	meV per atom
D(E_F)	2.7	states/eV/f.u.

Lattice parameters (Å, degrees): 9.824 2.900 5.269 90.00 99.32 90.00
Space group Cm (No. 8)
Symmetry-distinct sites (fractional):
Mg1 0.000 0.000 0.000 x2
Cd1 0.012 0.500 0.535 x2
Cd2 0.257 0.500 0.272 x2
Tc1 0.258 0.000 0.781 x2

19.
Entry from Alexandria: an optimized crystal structure of Cu2HgW (PBE-GGA).

Values from the calculation:
calculated formation energy	743	meV per atom
D(E_F)	3.6	states/eV/f.u.

Lattice parameters (Å, degrees): 3.960 3.960 7.864 90.00 90.00 90.00
Space group I-4m2 (No. 119)
Symmetry-distinct sites (fractional):
Cu1 0.000 0.000 0.000 x2
Cu2 0.000 0.500 0.250 x2
Hg1 0.000 0.500 0.750 x2
W1 0.000 0.000 0.500 x2

20.
Entry from Alexandria: an optimized crystal structure of AlOsCl4 (PBE-GGA).

Values from the calculation:
energy relative to the elements, uncorrected	1.39	eV per atom
D(E_F)	6.7	states/eV/f.u.

Lattice parameters (Å, degrees): 8.362 8.362 8.362 90.00 90.00 90.00
Space group F-43m (No. 216)
Symmetry-distinct sites (fractional):
Al1 0.000 0.000 0.000 x4
Os1 0.250 0.250 0.250 x4
Cl1 0.125 0.125 0.625 x16

In the order shown, the computed calculated density values come out to 8.34; 4.73; 7.09; 2.22; 8.61; 8.11; 7.44; 5.31; 5.45; 7.01; 7.59; 13.87; 2.04; 4.75; 5.87; 7.57; 10.05; 7.78; 13.77; 4.08 Mg/m³.